[1]
{"formula": "CaDy3Al8", "functional": "PBE", "state": "relaxed", "lattice": [[2.788, 1.609, 9.134], [-2.788, 1.609, 9.134], [0.000, -3.219, 9.134]], "species": ["Ca", "Dy", "Dy", "Dy", "Al", "Al", "Al", "Al", "Al", "Al", "Al", "Al"], "fractional_positions": [[0.000, 0.000, 0.000], [0.124, 0.124, 0.124], [0.500, 0.500, 0.500], [0.625, 0.625, 0.625], [0.062, 0.062, 0.560], [0.062, 0.560, 0.062], [0.064, 0.563, 0.563], [0.312, 0.312, 0.312], [0.560, 0.062, 0.062], [0.563, 0.064, 0.563], [0.563, 0.563, 0.064], [0.812, 0.812, 0.812]], "crystal_system": "trigonal", "e_form_mev_per_atom": -461}

***

[2]
{"formula": "Dy4Y10Er", "functional": "PBE", "state": "relaxed", "lattice": [[-6.081, 6.081, 3.844], [6.081, -6.081, 3.844], [6.081, 6.081, -3.844]], "species": ["Dy", "Dy", "Dy", "Dy", "Y", "Y", "Y", "Y", "Y", "Y", "Y", "Y", "Y", "Y", "Er"], "fractional_positions": [[0.100, 0.299, 0.400], [0.299, 0.900, 0.199], [0.701, 0.100, 0.801], [0.900, 0.701, 0.600], [0.051, 0.151, 0.701], [0.151, 0.450, 0.101], [0.250, 0.750, 0.500], [0.350, 0.051, 0.899], [0.450, 0.350, 0.299], [0.550, 0.650, 0.701], [0.650, 0.949, 0.101], [0.750, 0.250, 0.500], [0.849, 0.550, 0.899], [0.949, 0.849, 0.299], [0.500, 0.500, 0.000]], "crystal_system": "tetragonal", "e_form_mev_per_atom": 734}